DFT (GGA+U) results for a geometry-optimized VNiRh2F structure.

Lattice parameters (Å, degrees): 4.2702 4.2702 3.7878 90.00 90.00 90.00
Closest atoms and distances in Å follow each position.
Space group P4/mmm (No. 123)
Unique sites:
V1 0.0000 0.0000 0.0000 (multiplicity 1)  2 F 1.89
Ni1 0.5000 0.5000 0.0000 (multiplicity 1)  8 Rh 2.85, 4 V 3.02
Rh1 0.0000 0.5000 0.5000 (multiplicity 2)  2 F 2.14
F1 0.0000 0.0000 0.5000 (multiplicity 1)  2 V 1.89

Calculated values
Its total energy is -4.28 eV per atom. The magnetic moment comes out at 0.000 μB per cell.